Record 1
# Tm2MgPa

An optimized crystal structure of Tm2MgPa (PBE-GGA, Alexandria).

a = 5.372 Å, b = 5.372 Å, c = 5.372 Å
α = 60.00°, β = 60.00°, γ = 60.00°
Element x y z (fractional)
Pa 0.500 0.500 0.500
Mg 0.000 0.000 0.000
Tm 0.250 0.250 0.250
Tm 0.750 0.750 0.750

Electronic total energy: -4.665 eV per atom
DFT formation energy: 33.11 kJ per mole of atoms
Energy above the lowest structure with this stoichiometry: 299.8 meV per atom
Total magnetization: 2.6 μB per cell

***

Record 2
# Tm2MgPa

An optimized crystal structure of Tm2MgPa (PBE-GGA, Alexandria).

a = 3.456 Å, b = 5.550 Å, c = 5.550 Å
α = 90.00°, β = 90.00°, γ = 90.00°
Element x y z (fractional)
Pa 0.500 0.500 0.500
Tm 0.000 0.500 0.000
Tm 0.000 0.000 0.500
Mg 0.500 0.000 0.000

Electronic total energy: -4.820 eV per atom
DFT formation energy: 18.13 kJ per mole of atoms
Energy above the lowest structure with this stoichiometry: 144.6 meV per atom
Total magnetization: 0.0 μB per cell

***

Record 3
# TmMgPa

An optimized crystal structure of TmMgPa (PBE-GGA, Alexandria).

a = 3.188 Å, b = 3.188 Å, c = 7.938 Å
α = 101.58°, β = 101.58°, γ = 90.00°
Element x y z (fractional)
Pa 0.666 0.666 0.333
Tm 0.001 0.001 0.002
Mg 0.333 0.333 0.666

Electronic total energy: -5.041 eV per atom
DFT formation energy: 14.14 kJ per mole of atoms
Energy above the lowest structure with this stoichiometry: 134.0 meV per atom
Total magnetization: 0.0 μB per cell

***

Record 4
# MgPa2V

An optimized crystal structure of MgPa2V (PBE-GGA, Alexandria).

a = 3.023 Å, b = 3.023 Å, c = 11.539 Å
α = 82.47°, β = 82.47°, γ = 60.00°
Element x y z (fractional)
Pa 0.095 0.095 0.716
Pa 0.905 0.905 0.284
V 0.500 0.500 0.500
Mg 0.000 0.000 0.000

Electronic total energy: -7.028 eV per atom
DFT formation energy: 38.40 kJ per mole of atoms
Total magnetization: 0.0 μB per cell

***

Record 5
# MgPaW

An optimized crystal structure of MgPaW (PBE-GGA, Alexandria).

a = 3.156 Å, b = 3.156 Å, c = 13.220 Å
α = 90.00°, β = 90.00°, γ = 90.00°
Element x y z (fractional)
Mg 0.000 0.500 0.914
Mg 0.500 0.000 0.086
W 0.500 0.000 0.443
W 0.000 0.500 0.557
Pa 0.000 0.500 0.286
Pa 0.500 0.000 0.714

Electronic total energy: -7.887 eV per atom
DFT formation energy: 12.34 kJ per mole of atoms
Total magnetization: 0.0 μB per cell

***

Record 6
# YMgPa

An optimized crystal structure of YMgPa (PBE-GGA, Alexandria).

a = 5.302 Å, b = 5.786 Å, c = 6.639 Å
α = 79.46°, β = 66.47°, γ = 62.73°
Element x y z (fractional)
Y 0.368 0.000 0.264
Y 0.632 0.000 0.736
Mg 0.250 0.500 0.500
Mg 0.750 0.500 0.500
Pa 0.821 0.358 0.000
Pa 0.179 0.642 0.000

Electronic total energy: -5.586 eV per atom
DFT formation energy: 25.60 kJ per mole of atoms
Total magnetization: 0.8 μB per cell

***

Record 7
# YMg2Pa

An optimized crystal structure of YMg2Pa (PBE-GGA, Alexandria).

a = 3.167 Å, b = 3.167 Å, c = 12.442 Å
α = 82.69°, β = 82.69°, γ = 60.00°
Element x y z (fractional)
Mg 0.912 0.912 0.263
Mg 0.088 0.088 0.737
Pa 0.000 0.000 0.000
Y 0.500 0.500 0.500

Electronic total energy: -4.463 eV per atom
DFT formation energy: 31.31 kJ per mole of atoms
Total magnetization: 0.0 μB per cell

***

Record 8
# Mg2PaZn

An optimized crystal structure of Mg2PaZn (PBE-GGA, Alexandria).

a = 3.040 Å, b = 3.040 Å, c = 11.204 Å
α = 82.20°, β = 82.20°, γ = 60.00°
Element x y z (fractional)
Pa 0.000 0.000 0.000
Zn 0.500 0.500 0.500
Mg 0.097 0.097 0.709
Mg 0.903 0.903 0.291

Electronic total energy: -3.255 eV per atom
DFT formation energy: 22.62 kJ per mole of atoms
Energy above the lowest structure with this stoichiometry: 144.1 meV per atom
Total magnetization: 0.4 μB per cell

***

Record 9
# MgPaZn3

An optimized crystal structure of MgPaZn3 (PBE-GGA, Alexandria).

a = 4.562 Å, b = 3.118 Å, c = 13.436 Å
α = 96.66°, β = 90.00°, γ = 90.00°
Element x y z (fractional)
Mg 0.750 0.217 0.433
Mg 0.250 0.783 0.567
Pa 0.750 0.925 0.850
Pa 0.250 0.075 0.150
Zn 0.750 0.323 0.645
Zn 0.250 0.677 0.355
Zn 0.250 0.475 0.950
Zn 0.750 0.525 0.050
Zn 0.250 0.373 0.746
Zn 0.750 0.627 0.254

Electronic total energy: -3.056 eV per atom
DFT formation energy: -7.06 kJ per mole of atoms
Total magnetization: 0.8 μB per cell

***

Record 10
# Mg2PaZn

An optimized crystal structure of Mg2PaZn (PBE-GGA, Alexandria).

a = 3.094 Å, b = 3.094 Å, c = 8.758 Å
α = 90.00°, β = 90.00°, γ = 90.00°
Element x y z (fractional)
Pa 0.500 0.500 0.500
Mg 0.000 0.000 0.208
Mg 0.000 0.000 0.792
Zn 0.500 0.500 0.000

Electronic total energy: -3.399 eV per atom
DFT formation energy: 8.71 kJ per mole of atoms
Energy above the lowest structure with this stoichiometry: 0.0 meV per atom
Total magnetization: 0.8 μB per cell

***

Record 11
# Mg2PaZn4

An optimized crystal structure of Mg2PaZn4 (PBE-GGA, Alexandria).

a = 4.476 Å, b = 3.077 Å, c = 9.954 Å
α = 98.89°, β = 102.99°, γ = 90.00°
Element x y z (fractional)
Zn 0.924 0.424 0.849
Zn 0.354 0.354 0.708
Zn 0.646 0.646 0.292
Zn 0.076 0.576 0.151
Mg 0.796 0.796 0.592
Mg 0.204 0.204 0.408
Pa 0.500 0.000 0.000

Electronic total energy: -2.611 eV per atom
DFT formation energy: -6.83 kJ per mole of atoms
Total magnetization: 0.2 μB per cell

***

Record 12
# Mg2PaZn3

An optimized crystal structure of Mg2PaZn3 (PBE-GGA, Alexandria).

a = 3.052 Å, b = 3.052 Å, c = 12.087 Å
α = 90.00°, β = 90.00°, γ = 90.00°
Element x y z (fractional)
Mg 0.500 0.500 0.158
Mg 0.500 0.500 0.842
Zn 0.000 0.000 0.000
Zn 0.000 0.000 0.315
Zn 0.000 0.000 0.685
Pa 0.500 0.500 0.500

Electronic total energy: -2.801 eV per atom
DFT formation energy: -4.84 kJ per mole of atoms
Total magnetization: 0.2 μB per cell

***

Record 13
# MgPa2Zn

An optimized crystal structure of MgPa2Zn (PBE-GGA, Alexandria).

a = 3.062 Å, b = 3.062 Å, c = 11.720 Å
α = 82.49°, β = 82.49°, γ = 60.00°
Element x y z (fractional)
Pa 0.093 0.093 0.722
Pa 0.907 0.907 0.278
Zn 0.500 0.500 0.500
Mg 0.000 0.000 0.000

Electronic total energy: -5.223 eV per atom
DFT formation energy: 23.34 kJ per mole of atoms
Total magnetization: 0.0 μB per cell

***

Record 14
# Mg2PaZn10

An optimized crystal structure of Mg2PaZn10 (PBE-GGA, Alexandria).

a = 5.430 Å, b = 6.804 Å, c = 7.033 Å
α = 81.14°, β = 67.29°, γ = 66.48°
Element x y z (fractional)
Zn 0.353 0.638 0.655
Zn 0.506 0.783 0.206
Zn 0.500 0.500 0.000
Zn 0.494 0.217 0.794
Zn 0.647 0.362 0.345
Zn 0.000 0.500 0.000
Zn 0.991 0.362 0.655
Zn 0.712 0.783 0.794
Zn 0.288 0.217 0.206
Zn 0.009 0.638 0.345
Mg 0.000 0.000 0.500
Mg 0.500 0.000 0.500
Pa 0.000 0.000 0.000

Electronic total energy: -1.995 eV per atom
DFT formation energy: -3.78 kJ per mole of atoms
Total magnetization: 1.2 μB per cell

***

Record 15
# Mg2PaZn9

An optimized crystal structure of Mg2PaZn9 (PBE-GGA, Alexandria).

a = 5.294 Å, b = 5.294 Å, c = 8.977 Å
α = 72.85°, β = 72.85°, γ = 60.00°
Element x y z (fractional)
Zn 0.588 0.588 0.744
Zn 0.666 0.666 0.001
Zn 0.500 0.500 0.500
Zn 0.079 0.588 0.744
Zn 0.412 0.921 0.256
Zn 0.921 0.412 0.256
Zn 0.588 0.079 0.744
Zn 0.334 0.334 0.999
Zn 0.412 0.412 0.256
Mg 0.860 0.860 0.419
Mg 0.140 0.140 0.581
Pa 0.000 0.000 0.000

Electronic total energy: -2.089 eV per atom
DFT formation energy: -7.36 kJ per mole of atoms
Total magnetization: 0.8 μB per cell

***

Record 16
# MgPa2Zn6

An optimized crystal structure of MgPa2Zn6 (PBE-GGA, Alexandria).

a = 7.974 Å, b = 7.974 Å, c = 3.077 Å
α = 90.00°, β = 90.00°, γ = 120.00°
Element x y z (fractional)
Zn 0.675 0.675 0.500
Zn 0.325 0.000 0.500
Zn 0.000 0.675 0.500
Zn 0.325 0.325 0.500
Zn 0.000 0.325 0.500
Zn 0.675 0.000 0.500
Pa 0.333 0.667 0.000
Pa 0.667 0.333 0.000
Mg 0.000 0.000 0.000

Electronic total energy: -3.210 eV per atom
DFT formation energy: -7.08 kJ per mole of atoms
Total magnetization: 0.0 μB per cell

***

Record 17
# Mg2PaZn6

An optimized crystal structure of Mg2PaZn6 (PBE-GGA, Alexandria).

a = 3.036 Å, b = 7.883 Å, c = 8.062 Å
α = 119.27°, β = 102.08°, γ = 90.00°
Element x y z (fractional)
Zn 0.692 0.997 0.349
Zn 0.692 0.353 0.349
Zn 0.308 0.647 0.651
Zn 0.500 0.335 0.000
Zn 0.500 0.665 0.000
Zn 0.308 0.003 0.651
Mg 0.829 0.352 0.704
Mg 0.171 0.648 0.296
Pa 0.000 0.000 0.000

Electronic total energy: -2.304 eV per atom
DFT formation energy: -4.37 kJ per mole of atoms
Total magnetization: 0.0 μB per cell

***

Record 18
# MgZr2Pa

An optimized crystal structure of MgZr2Pa (PBE-GGA, Alexandria).

a = 5.055 Å, b = 5.055 Å, c = 5.055 Å
α = 60.00°, β = 60.00°, γ = 60.00°
Element x y z (fractional)
Mg 0.000 0.000 0.000
Zr 0.250 0.250 0.250
Zr 0.750 0.750 0.750
Pa 0.500 0.500 0.500

Electronic total energy: -6.839 eV per atom
DFT formation energy: 20.07 kJ per mole of atoms
Energy above the lowest structure with this stoichiometry: 170.8 meV per atom
Total magnetization: 0.0 μB per cell

***

Record 19
# MgZr2Pa

An optimized crystal structure of MgZr2Pa (PBE-GGA, Alexandria).

a = 3.230 Å, b = 3.230 Å, c = 10.796 Å
α = 81.40°, β = 81.40°, γ = 60.00°
Element x y z (fractional)
Zr 0.750 0.750 0.749
Zr 0.250 0.250 0.251
Pa 0.000 0.000 0.000
Mg 0.500 0.500 0.500

Electronic total energy: -6.937 eV per atom
DFT formation energy: 10.54 kJ per mole of atoms
Energy above the lowest structure with this stoichiometry: 72.0 meV per atom
Total magnetization: 0.0 μB per cell

***

Record 20
# MgZr2Pa

An optimized crystal structure of MgZr2Pa (PBE-GGA, Alexandria).

a = 3.658 Å, b = 3.658 Å, c = 6.916 Å
α = 90.00°, β = 90.00°, γ = 90.00°
Element x y z (fractional)
Mg 0.500 0.500 0.000
Pa 0.500 0.500 0.500
Zr 0.000 0.000 0.268
Zr 0.000 0.000 0.732

Electronic total energy: -6.930 eV per atom
DFT formation energy: 11.27 kJ per mole of atoms
Energy above the lowest structure with this stoichiometry: 79.7 meV per atom
Total magnetization: 0.0 μB per cell

***

Record 21
# MgZrPa

An optimized crystal structure of MgZrPa (PBE-GGA, Alexandria).

a = 3.075 Å, b = 3.075 Å, c = 7.868 Å
α = 101.27°, β = 101.27°, γ = 90.00°
Element x y z (fractional)
Zr 0.667 0.667 0.335
Pa 0.328 0.328 0.656
Mg 0.005 0.005 0.009

Electronic total energy: -6.467 eV per atom
DFT formation energy: 7.65 kJ per mole of atoms
Energy above the lowest structure with this stoichiometry: 72.2 meV per atom
Total magnetization: 0.0 μB per cell

***

Record 22
# MgZr3Pa

An optimized crystal structure of MgZr3Pa (PBE-GGA, Alexandria).

a = 3.161 Å, b = 7.646 Å, c = 10.245 Å
α = 107.17°, β = 96.66°, γ = 96.07°
Element x y z (fractional)
Pa 0.748 0.151 0.453
Pa 0.252 0.849 0.547
Zr 0.198 0.234 0.758
Zr 0.322 0.054 0.143
Zr 0.678 0.946 0.857
Zr 0.716 0.547 0.648
Zr 0.802 0.766 0.242
Zr 0.284 0.453 0.352
Mg 0.795 0.357 0.051
Mg 0.205 0.643 0.949

Electronic total energy: -7.290 eV per atom
DFT formation energy: 5.50 kJ per mole of atoms
Total magnetization: 0.0 μB per cell

***

Record 23
# MgZrPa

An optimized crystal structure of MgZrPa (PBE-GGA, Alexandria).

a = 4.252 Å, b = 4.252 Å, c = 7.990 Å
α = 90.00°, β = 90.00°, γ = 90.00°
Element x y z (fractional)
Zr 0.500 0.000 0.333
Zr 0.000 0.500 0.667
Pa 0.500 0.500 0.000
Pa 0.000 0.000 0.000
Mg 0.500 0.000 0.702
Mg 0.000 0.500 0.298

Electronic total energy: -6.121 eV per atom
DFT formation energy: 41.02 kJ per mole of atoms
Energy above the lowest structure with this stoichiometry: 418.0 meV per atom
Total magnetization: 0.0 μB per cell

***

Record 24
# MgZrPa

An optimized crystal structure of MgZrPa (PBE-GGA, Alexandria).

a = 3.130 Å, b = 3.130 Å, c = 8.427 Å
α = 90.00°, β = 90.00°, γ = 120.00°
Element x y z (fractional)
Pa 0.667 0.333 0.339
Mg 0.000 0.000 0.992
Zr 0.333 0.667 0.670

Electronic total energy: -6.454 eV per atom
DFT formation energy: 8.90 kJ per mole of atoms
Energy above the lowest structure with this stoichiometry: 85.2 meV per atom
Total magnetization: 0.0 μB per cell

***

Record 25
# MgZr2Pa

An optimized crystal structure of MgZr2Pa (PBE-GGA, Alexandria).

a = 4.162 Å, b = 4.705 Å, c = 4.705 Å
α = 90.00°, β = 90.00°, γ = 90.00°
Element x y z (fractional)
Pa 0.500 0.500 0.500
Zr 0.000 0.000 0.500
Zr 0.000 0.500 0.000
Mg 0.500 0.000 0.000

Electronic total energy: -6.932 eV per atom
DFT formation energy: 11.07 kJ per mole of atoms
Energy above the lowest structure with this stoichiometry: 77.5 meV per atom
Total magnetization: 0.0 μB per cell

***

Record 26
# MgZr2Pa

An optimized crystal structure of MgZr2Pa (PBE-GGA, Alexandria).

a = 3.127 Å, b = 3.127 Å, c = 10.742 Å
α = 90.00°, β = 90.00°, γ = 117.00°
Element x y z (fractional)
Zr 0.000 0.000 0.254
Zr 0.000 0.000 0.746
Mg 0.500 0.500 0.000
Pa 0.500 0.500 0.500

Electronic total energy: -6.982 eV per atom
DFT formation energy: 6.20 kJ per mole of atoms
Energy above the lowest structure with this stoichiometry: 27.1 meV per atom
Total magnetization: 0.0 μB per cell

***

Record 27
# MgZr2Pa

An optimized crystal structure of MgZr2Pa (PBE-GGA, Alexandria).

a = 3.191 Å, b = 3.191 Å, c = 10.882 Å
α = 81.57°, β = 81.57°, γ = 60.00°
Element x y z (fractional)
Zr 0.083 0.083 0.751
Zr 0.251 0.251 0.248
Mg 0.667 0.667 0.000
Pa 0.500 0.500 0.500

Electronic total energy: -7.010 eV per atom
DFT formation energy: 3.59 kJ per mole of atoms
Energy above the lowest structure with this stoichiometry: 0.0 meV per atom
Total magnetization: 0.0 μB per cell

***

Record 28
# MgZrPa

An optimized crystal structure of MgZrPa (PBE-GGA, Alexandria).

a = 3.167 Å, b = 3.167 Å, c = 14.388 Å
α = 93.20°, β = 93.20°, γ = 80.41°
Element x y z (fractional)
Zr 0.696 0.696 0.250
Zr 0.304 0.304 0.750
Pa 0.212 0.212 0.083
Pa 0.788 0.788 0.917
Mg 0.232 0.232 0.418
Mg 0.768 0.768 0.582

Electronic total energy: -6.539 eV per atom
DFT formation energy: 0.69 kJ per mole of atoms
Energy above the lowest structure with this stoichiometry: 0.0 meV per atom
Total magnetization: 0.0 μB per cell

***

Number 1: Fermi-level density of states 7.23 states/eV/cell. Number 2: Fermi-level density of states 6.92 states/eV/cell. Number 3: Fermi-level density of states 5.18 states/eV/cell. Number 4: Fermi-level density of states 6.50 states/eV/cell. Number 5: Fermi-level density of states 8.40 states/eV/cell. Number 6: Fermi-level density of states 12.24 states/eV/cell. Number 7: Fermi-level density of states 5.87 states/eV/cell. Number 8: Fermi-level density of states 5.05 states/eV/cell. Number 9: Fermi-level density of states 10.87 states/eV/cell. Number 10: Fermi-level density of states 5.03 states/eV/cell. Number 11: Fermi-level density of states 6.12 states/eV/cell. Number 12: Fermi-level density of states 4.51 states/eV/cell. Number 13: Fermi-level density of states 7.07 states/eV/cell. Number 14: Fermi-level density of states 8.06 states/eV/cell. Number 15: Fermi-level density of states 7.17 states/eV/cell. Number 16: Fermi-level density of states 10.62 states/eV/cell. Number 17: Fermi-level density of states 6.50 states/eV/cell. Number 18: Fermi-level density of states 6.58 states/eV/cell. Number 19: Fermi-level density of states 6.23 states/eV/cell. Number 20: Fermi-level density of states 5.30 states/eV/cell. Number 21: Fermi-level density of states 4.22 states/eV/cell. Number 22: Fermi-level density of states 13.16 states/eV/cell. Number 23: Fermi-level density of states 11.17 states/eV/cell. Number 24: Fermi-level density of states 4.40 states/eV/cell. Number 25: Fermi-level density of states 6.27 states/eV/cell. Number 26: Fermi-level density of states 5.29 states/eV/cell. Number 27: Fermi-level density of states 4.08 states/eV/cell. Number 28: Fermi-level density of states 5.55 states/eV/cell.